The following is a DFT calculation (GGA-PBE) of NpScAlMo after structural relaxation.

Cell and atoms, written as CIF:
```
data_NpScAlMo
_cell_length_a 6.723
_cell_length_b 6.723
_cell_length_c 6.723
_cell_angle_alpha 90.00
_cell_angle_beta 90.00
_cell_angle_gamma 90.00
_symmetry_space_group_name_H-M 'F -4 3 m'
_symmetry_Int_Tables_number 216
_symmetry_space_group_name_Hall 'F -4 2 3'
loop_
_atom_site_label
_atom_site_type_symbol
_atom_site_fract_x
_atom_site_fract_y
_atom_site_fract_z
Np1 Np 0.000 0.000 0.000
Sc1 Sc 0.250 0.250 0.750
Al1 Al 0.000 0.000 0.500
Mo1 Mo 0.250 0.250 0.250
```

***

The following is a DFT calculation (GGA-PBE) of NpTiAlMo after structural relaxation.

Cell and atoms, written as CIF:
```
data_NpTiAlMo
_cell_length_a 6.519
_cell_length_b 6.519
_cell_length_c 6.519
_cell_angle_alpha 90.00
_cell_angle_beta 90.00
_cell_angle_gamma 90.00
_symmetry_space_group_name_H-M 'F -4 3 m'
_symmetry_Int_Tables_number 216
_symmetry_space_group_name_Hall 'F -4 2 3'
loop_
_atom_site_label
_atom_site_type_symbol
_atom_site_fract_x
_atom_site_fract_y
_atom_site_fract_z
Np1 Np 0.000 0.000 0.000
Ti1 Ti 0.250 0.250 0.750
Al1 Al 0.000 0.000 0.500
Mo1 Mo 0.250 0.250 0.250
```

***

no.,formation energy (eV per atom),DOS at the Fermi energy (states/eV/atom)
1,0.149,2.401
2,0.079,2.862